# 1
Density functional theory data (GGA+U) for a relaxed structure of BaFeO2F.

Fermi-level density of states = 0.003 states/eV/atom
E = -6.202 eV/atom
Space-group type = P4/mmm, No. 123

Unit cell a=4.0513 b=4.0513 c=4.2142 alpha=90.00 beta=90.00 gamma=90.00
Fractional positions:
Ba (0.0000, 0.0000, 0.0000)
Fe (0.5000, 0.5000, 0.5000)
O (0.0000, 0.5000, 0.5000)
O (0.5000, 0.0000, 0.5000)
F (0.5000, 0.5000, 0.0000)

# 2
Density functional theory data (GGA+U) for a relaxed structure of CaVPbF6.

Fermi-level density of states = 0.000 states/eV/atom
E = -5.679 eV/atom
Space-group type = P-31c, No. 163

Unit cell a=5.8101 b=5.8101 c=10.3194 alpha=90.00 beta=90.00 gamma=120.00
Fractional positions:
Ca (0.3333, 0.6667, 0.2500)
Ca (0.6667, 0.3333, 0.7500)
V (0.3333, 0.6667, 0.7500)
V (0.6667, 0.3333, 0.2500)
Pb (0.0000, 0.0000, 0.0000)
Pb (0.0000, 0.0000, 0.5000)
F (0.0190, 0.3624, 0.6390)
F (0.0190, 0.6566, 0.8610)
F (0.3434, 0.3624, 0.8610)
F (0.3434, 0.9810, 0.6390)
F (0.3624, 0.0190, 0.1390)
F (0.3624, 0.3434, 0.3610)
F (0.6376, 0.6566, 0.6390)
F (0.6376, 0.9810, 0.8610)
F (0.6566, 0.0190, 0.3610)
F (0.6566, 0.6376, 0.1390)
F (0.9810, 0.3434, 0.1390)
F (0.9810, 0.6376, 0.3610)